Entry 1:
Here is an optimized crystal structure of La3Pr3Er2 from Alexandria. Energies are from PBE.

```
La3Pr3Er2
1.0
5.214 0.000 0.000
0.000 5.224 0.000
-2.607 -2.612 10.303
Pr Er La
3 2 3
direct
0.871 0.871 0.741
0.000 0.500 0.000
0.129 0.129 0.259
0.749 0.249 0.499
0.251 0.751 0.501
0.500 0.000 0.000
0.628 0.628 0.257
0.372 0.372 0.743
```

Symmetry: No. 71
N(E_F), states/eV/atom: 1.617
Formation energy from the elements, meV per atom: 21

Entry 2:
Here is an optimized crystal structure of Nd2TmScTe5 from Alexandria. Energies are from PBE.

```
Nd2TmScTe5
1.0
-5.055 1.377 -1.653
-2.148 -3.465 3.683
-0.243 8.158 7.534
Nd Te Sc Tm
2 5 1 1
direct
0.500 0.500 0.683
0.500 0.500 0.317
0.500 0.500 0.000
0.000 0.000 0.239
0.000 0.000 0.761
0.000 0.500 0.500
0.500 0.000 0.500
0.000 0.000 0.000
0.000 0.000 0.500
```

Symmetry: No. 123
Formation energy without anion corrections, eV per atom: -0.766
N(E_F), states/eV/atom: 0.803

Entry 3:
Here is an optimized crystal structure of Pr2TmTl from Alexandria. Energies are from PBE.

```
Pr2TmTl
1.0
6.216 0.000 0.000
0.000 8.112 -0.007
0.000 0.009 10.051
Tm Tl Pr
4 4 8
direct
0.250 0.410 0.250
0.750 0.090 0.250
0.250 0.910 0.750
0.750 0.590 0.750
0.000 0.750 0.251
0.500 0.750 0.249
0.000 0.250 0.749
0.500 0.250 0.751
0.750 0.923 0.940
0.250 0.577 0.560
0.250 0.577 0.940
0.750 0.423 0.060
0.750 0.923 0.560
0.750 0.423 0.440
0.250 0.077 0.440
0.250 0.077 0.060
```

Symmetry: No. 52
N(E_F), states/eV/atom: 1.203
Formation energy from the elements, meV per atom: -114

Entry 4:
Here is an optimized crystal structure of K2LiBiO from Alexandria. Energies are from PBE.

```
K2LiBiO
1.0
6.179 0.000 0.000
0.000 3.620 0.000
0.000 0.000 6.179
Li K Bi O
1 2 1 1
direct
0.000 0.500 0.000
0.500 0.000 0.000
0.000 0.000 0.500
0.500 0.500 0.500
0.000 0.000 0.000
```

Symmetry: No. 123
Formation energy without anion corrections, eV per atom: -0.731
N(E_F), states/eV/atom: 0.394

Entry 5:
Here is an optimized crystal structure of Er2PuZn from Alexandria. Energies are from PBE.

```
Er2PuZn
1.0
-2.076 2.816 -0.161
-3.090 -0.005 1.650
2.699 4.671 8.785
Er Pu Zn
2 1 1
direct
0.074 0.074 0.778
0.260 0.260 0.221
0.500 0.500 0.500
0.666 0.666 0.001
```

Symmetry: No. 160
N(E_F), states/eV/atom: 2.295
Formation energy from the elements, meV per atom: 10

Entry 6:
Here is an optimized crystal structure of Sr4InCl from Alexandria. Energies are from PBE.

```
Sr4InCl
1.0
-3.019 -3.181 5.900
-6.159 -3.951 -0.702
0.216 -7.309 0.750
Cl Sr In
1 4 1
direct
0.750 0.750 0.750
0.878 0.374 0.374
0.374 0.374 0.878
0.374 0.374 0.374
0.374 0.878 0.374
0.000 0.000 0.000
```

Symmetry: No. 216
Formation energy without anion corrections, eV per atom: 0.058
N(E_F), states/eV/atom: 0.924

Entry 7:
Here is an optimized crystal structure of CsK5Rb2Au from Alexandria. Energies are from PBE.

```
CsK5Rb2Au
1.0
-2.956 8.875 2.382
-4.126 -4.588 -7.423
-2.010 -7.437 5.817
K Rb Cs Au
5 2 1 1
direct
0.000 0.253 0.253
0.000 0.755 0.244
0.000 0.244 0.755
0.489 0.244 0.244
0.511 0.755 0.755
0.500 0.248 0.748
0.500 0.748 0.248
0.000 0.747 0.747
0.000 0.007 0.007
```

Symmetry: No. 107
N(E_F), states/eV/atom: 0.839
Formation energy from the elements, meV per atom: -65

Entry 8:
Here is an optimized crystal structure of BeCoAg2 from Alexandria. Energies are from PBE.

```
BeCoAg2
1.0
-0.844 0.931 4.355
-4.503 -0.378 0.349
2.950 -2.981 -1.720
Ag Be Co
2 1 1
direct
0.000 0.000 0.000
0.500 0.500 0.000
0.250 0.750 0.500
0.750 0.250 0.500
```

Symmetry: No. 139
N(E_F), states/eV/atom: 1.240
Formation energy from the elements, meV per atom: 400

Entry 9:
Here is an optimized crystal structure of Li2PBr from Alexandria. Energies are from PBE.

```
Li2PBr
1.0
5.140 0.007 0.004
0.923 5.057 -0.004
-2.037 -3.723 2.901
P Li Br
1 2 1
direct
0.750 0.250 0.500
0.999 0.999 0.000
0.501 0.501 0.000
0.250 0.750 0.500
```

Symmetry: No. 71
Formation energy without anion corrections, eV per atom: -0.399
N(E_F), states/eV/atom: 0.263

Entry 10:
Here is an optimized crystal structure of AcPm2Mg from Alexandria. Energies are from PBE.

```
AcPm2Mg
1.0
-3.216 1.134 -1.536
-2.991 0.616 2.159
1.177 11.619 1.560
Ac Pm Mg
1 2 1
direct
0.500 0.500 0.500
0.075 0.075 0.773
0.258 0.258 0.226
0.667 0.667 0.000
```

Symmetry: No. 160
N(E_F), states/eV/atom: 1.174
Formation energy from the elements, meV per atom: 70

Entry 11:
Here is an optimized crystal structure of BaCaRe3 from Alexandria. Energies are from PBE.

```
BaCaRe3
1.0
4.997 0.000 0.000
0.000 4.997 0.000
0.000 0.000 4.997
Ba Re Ca
1 3 1
direct
0.500 0.500 0.500
0.000 0.000 0.500
0.500 0.000 0.000
0.000 0.500 0.000
0.000 0.000 0.000
```

Symmetry: No. 221
N(E_F), states/eV/atom: 1.690
Formation energy from the elements, meV per atom: 2852

Entry 12:
Here is an optimized crystal structure of ReSi from Alexandria. Energies are from PBE.

```
ReSi
1.0
-3.774 -3.572 -7.466
-3.883 -1.293 8.123
-1.564 2.412 -0.363
Si Re
6 6
direct
0.666 0.722 0.750
0.722 0.056 0.250
0.944 0.666 0.250
0.056 0.334 0.750
0.278 0.944 0.750
0.334 0.278 0.250
0.507 0.145 0.250
0.145 0.638 0.750
0.493 0.855 0.750
0.855 0.362 0.250
0.638 0.493 0.250
0.362 0.507 0.750
```

Symmetry: No. 176
Formation energy without anion corrections, eV per atom: 0.299
N(E_F), states/eV/atom: 0.452

Entry 13:
Here is an optimized crystal structure of PmSmSi2 from Alexandria. Energies are from PBE.

```
PmSmSi2
1.0
3.362 0.000 0.000
0.000 3.362 0.000
0.000 0.000 8.166
Sm Pm Si
1 1 2
direct
0.500 0.500 0.000
0.500 0.500 0.500
0.000 0.000 0.751
0.000 0.000 0.249
```

Symmetry: No. 123
Formation energy without anion corrections, eV per atom: -0.443
N(E_F), states/eV/atom: 0.898

Entry 14:
Here is an optimized crystal structure of Pr5NpIr4 from Alexandria. Energies are from PBE.

```
Pr5NpIr4
1.0
4.430 0.000 0.000
0.000 7.230 -1.609
-2.215 -2.697 9.114
Pr Ir Np
5 4 1
direct
0.838 0.731 0.677
0.162 0.269 0.323
0.500 0.500 0.000
0.825 0.214 0.650
0.175 0.786 0.350
0.993 0.204 0.986
0.643 0.989 0.285
0.357 0.011 0.715
0.007 0.796 0.014
0.500 0.000 0.000
```

Symmetry: No. 12
N(E_F), states/eV/atom: 1.388
Formation energy from the elements, meV per atom: -460

Entry 15:
Here is an optimized crystal structure of LaSm12Er6 from Alexandria. Energies are from PBE.

```
LaSm12Er6
1.0
-3.399 0.864 -7.873
1.193 -8.376 -1.639
-7.861 -1.896 2.980
Sm Er La
12 6 1
direct
0.639 0.986 0.800
0.779 0.539 0.433
0.567 0.221 0.461
0.986 0.800 0.639
0.433 0.779 0.539
0.200 0.361 0.014
0.539 0.433 0.779
0.361 0.014 0.200
0.014 0.200 0.361
0.800 0.639 0.986
0.461 0.567 0.221
0.221 0.461 0.567
0.098 0.696 0.259
0.259 0.098 0.696
0.696 0.259 0.098
0.902 0.304 0.741
0.741 0.902 0.304
0.304 0.741 0.902
0.000 0.000 0.000
```

Symmetry: No. 148
N(E_F), states/eV/atom: 1.728
Formation energy from the elements, meV per atom: 140

Entry 16:
Here is an optimized crystal structure of AcDyTl from Alexandria. Energies are from PBE.

```
AcDyTl
1.0
5.446 0.000 0.000
2.723 4.717 0.000
2.723 1.572 4.447
Ac Dy Tl
1 1 1
direct
0.500 0.500 0.500
0.000 0.000 0.000
0.250 0.250 0.250
```

Symmetry: No. 216
N(E_F), states/eV/atom: 1.818
Formation energy from the elements, meV per atom: -4

Entry 17:
Here is an optimized crystal structure of AcPm6Sn2 from Alexandria. Energies are from PBE.

```
AcPm6Sn2
1.0
-2.010 -4.452 -0.367
1.081 -0.094 -4.776
11.212 -5.280 2.641
Sn Pm Ac
2 6 1
direct
0.500 0.500 0.113
0.500 0.500 0.887
0.500 0.500 0.500
0.500 0.000 0.281
0.000 0.000 0.500
0.500 0.000 0.719
0.000 0.500 0.719
0.000 0.500 0.281
0.000 0.000 0.000
```

Symmetry: No. 123
N(E_F), states/eV/atom: 1.053
Formation energy from the elements, meV per atom: -289

Entry 18:
Here is an optimized crystal structure of BeTe2P from Alexandria. Energies are from PBE.

```
BeTe2P
1.0
-3.558 -2.232 -2.521
-0.093 -4.889 -0.299
-3.460 -2.533 2.367
Be P Te
1 1 2
direct
0.500 0.500 0.500
0.750 0.750 0.750
0.250 0.250 0.250
0.000 0.000 0.000
```

Symmetry: No. 216
Formation energy without anion corrections, eV per atom: 0.883
N(E_F), states/eV/atom: 0.525

Entry 19:
Here is an optimized crystal structure of Pr6ErTm4 from Alexandria. Energies are from PBE.

```
Pr6ErTm4
1.0
3.566 0.000 0.000
0.000 11.083 0.000
0.000 -5.542 9.599
Pr Tm Er
6 4 1
direct
0.500 0.182 0.818
0.000 0.527 0.473
0.500 0.637 0.818
0.000 0.527 0.053
0.500 0.182 0.363
0.000 0.947 0.473
0.500 0.843 0.686
0.000 0.333 0.667
0.500 0.843 0.157
0.500 0.314 0.157
0.000 0.000 0.000
```

Symmetry: No. 187
N(E_F), states/eV/atom: 1.461
Formation energy from the elements, meV per atom: 141

Entry 20:
Here is an optimized crystal structure of Pr4Dy3ThSe8 from Alexandria. Energies are from PBE.

```
Pr4Dy3ThSe8
1.0
8.337 0.000 0.000
0.000 8.424 0.056
-4.168 -4.164 5.898
Pr Se Dy Th
4 8 3 1
direct
0.000 0.000 0.000
0.500 0.000 0.000
0.000 0.000 0.500
0.500 0.000 0.500
0.752 0.264 0.503
0.740 0.736 0.988
0.248 0.736 0.988
0.248 0.736 0.497
0.260 0.264 0.012
0.752 0.264 0.012
0.744 0.732 0.488
0.256 0.268 0.512
0.500 0.500 0.000
0.500 0.500 0.500
0.000 0.500 0.500
0.000 0.500 0.000
```

Symmetry: No. 166
Formation energy without anion corrections, eV per atom: -1.766
N(E_F), states/eV/atom: 0.601

Entry 21:
Here is an optimized crystal structure of La4Tl5In from Alexandria. Energies are from PBE.

```
La4Tl5In
1.0
8.222 0.000 0.000
0.000 10.633 0.000
0.000 0.000 7.596
Tl In La
10 2 8
direct
0.529 0.000 0.500
0.822 0.812 0.701
0.178 0.688 0.201
0.178 0.312 0.799
0.178 0.688 0.799
0.178 0.312 0.201
0.822 0.188 0.701
0.822 0.812 0.299
0.822 0.188 0.299
0.471 0.500 0.000
0.135 0.500 0.500
0.865 0.000 0.000
0.514 0.182 0.000
0.183 0.000 0.258
0.486 0.318 0.500
0.817 0.500 0.758
0.486 0.682 0.500
0.183 0.000 0.742
0.514 0.818 0.000
0.817 0.500 0.242
```

Symmetry: No. 59
N(E_F), states/eV/atom: 1.100
Formation energy from the elements, meV per atom: -131

Entry 22:
Here is an optimized crystal structure of K3BeH from Alexandria. Energies are from PBE.

```
K3BeH
1.0
-3.290 -0.197 4.389
2.048 -4.920 1.315
3.886 2.426 3.023
Be K H
1 3 1
direct
0.500 0.500 0.500
0.000 0.000 0.500
0.000 0.500 0.000
0.500 0.000 0.000
0.000 0.000 0.000
```

Symmetry: No. 221
N(E_F), states/eV/atom: 0.837
Energy, eV/atom: -1.6352

Entry 23:
Here is an optimized crystal structure of CoSiGe from Alexandria. Energies are from PBE.

```
CoSiGe
1.0
3.899 0.000 0.000
1.950 3.377 0.000
1.950 1.126 3.184
Co Ge Si
1 1 1
direct
0.250 0.250 0.250
0.500 0.500 0.500
0.000 0.000 0.000
```

Symmetry: No. 216
Formation energy without anion corrections, eV per atom: -0.256
N(E_F), states/eV/atom: 0.510

Entry 24:
Here is an optimized crystal structure of Er3SnPt from Alexandria. Energies are from PBE.

```
Er3SnPt
1.0
-3.664 1.455 2.212
-3.747 -1.053 -5.512
-1.648 -8.254 2.698
Sn Pt Er
2 2 6
direct
0.250 0.750 0.853
0.750 0.250 0.147
0.250 0.250 0.599
0.750 0.750 0.401
0.750 0.997 0.663
0.250 0.003 0.337
0.250 0.250 0.923
0.750 0.750 0.077
0.250 0.497 0.337
0.750 0.503 0.663
```

Symmetry: No. 59
N(E_F), states/eV/atom: 0.690
Formation energy from the elements, meV per atom: -832